No. 1
A relaxed La3AuN crystal, computed with PBE-GGA.

a = 9.1785 Å, b = 9.1785 Å, c = 6.2945 Å
α = 92.95°, β = 92.95°, γ = 93.21°
Last column: nearest neighbours and their distance in Å.
Sites, in units of the cell vectors:
La 0.0412 0.7691 0.9320  1 N 2.56
La 0.1878 0.5793 0.4072  2 N 2.53-2.54
La 0.2309 0.9588 0.5680  1 N 2.56
La 0.3122 0.4596 0.8978  3 N 2.55-2.65
La 0.4207 0.8122 0.0928  2 N 2.53-2.54
La 0.4596 0.3122 0.3978  3 N 2.55-2.65
La 0.5404 0.6878 0.6022  3 N 2.55-2.65
La 0.5793 0.1878 0.9072  2 N 2.53-2.54
La 0.6878 0.5404 0.1022  3 N 2.55-2.65
La 0.7691 0.0412 0.4320  1 N 2.56
La 0.8122 0.4207 0.5928  2 N 2.53-2.54
La 0.9588 0.2309 0.0680  1 N 2.56
Au 0.0864 0.2508 0.5650  5 La 3.04-3.32
Au 0.2508 0.0864 0.0650  5 La 3.04-3.32
Au 0.7492 0.9136 0.9350  5 La 3.04-3.32
Au 0.9136 0.7492 0.4350  5 La 3.04-3.32
N 0.2789 0.7211 0.7500  6 La 2.54-2.65
N 0.4350 0.5650 0.2500  6 La 2.53-2.56
N 0.5650 0.4350 0.7500  6 La 2.53-2.56
N 0.7211 0.2789 0.2500  6 La 2.54-2.65

Results
The calculated volume is 26.40 Å³ per atom. The calculation puts the uncorrected formation energy at -0.82 eV per atom. Its relative energy among the computed polymorphs is 93.0 meV/atom. The calculation puts the total magnetization at 0.000 μB/atom.

=====

No. 2
A relaxed LaAuN crystal, computed with PBE-GGA.

a = 3.6876 Å, b = 3.6876 Å, c = 8.2246 Å
α = 90.00°, β = 90.00°, γ = 90.00°
Last column: nearest neighbours and their distance in Å.
Sites, in units of the cell vectors:
La 0.2500 0.2500 0.1619  5 N 2.40-2.62
La 0.7500 0.7500 0.8381  5 N 2.40-2.62
Au 0.2500 0.2500 0.5808  1 N 2.38
Au 0.7500 0.7500 0.4192  1 N 2.38
N 0.2500 0.2500 0.8699  1 Au 2.38, 5 La 2.40-2.62
N 0.7500 0.7500 0.1301  1 Au 2.38, 5 La 2.40-2.62

Results
The calculated volume is 18.64 Å³ per atom. The calculation puts the uncorrected formation energy at -0.89 eV per atom. The calculation puts the total magnetization at 0.000 μB/atom.

=====

No. 3
A relaxed La6AuN crystal, computed with PBE-GGA.

a = 6.7359 Å, b = 6.7414 Å, c = 7.6349 Å
α = 89.95°, β = 63.88°, γ = 60.10°
Last column: nearest neighbours and their distance in Å.
Sites, in units of the cell vectors:
La 0.0541 0.3907 0.2211  1 N 2.54
La 0.3299 0.9458 0.7781  1 N 2.54
La 0.3323 0.7753 0.2214  1 N 2.54
La 0.6677 0.2247 0.7786  1 N 2.54
La 0.6701 0.0542 0.2219  1 N 2.54
La 0.9459 0.6093 0.7789  1 N 2.54
Au 0.5000 0.5000 0.5000  6 La 3.04-3.05
N 0.5000 0.0000 0.0000  6 La 2.54

Results
The calculated volume is 32.38 Å³ per atom. The calculation puts the uncorrected formation energy at -0.49 eV per atom. The calculation puts the total magnetization at 0.000 μB/atom.

=====

No. 4
A relaxed La4Au2N crystal, computed with PBE-GGA.

a = 8.2232 Å, b = 8.2232 Å, c = 7.3302 Å
α = 90.00°, β = 90.00°, γ = 128.15°
Last column: nearest neighbours and their distance in Å.
Sites, in units of the cell vectors:
La 0.1742 0.8258 0.9426  1 N 2.61
La 0.2290 0.2710 0.7500  2 N 2.59
La 0.2710 0.2290 0.2500  2 N 2.59
La 0.3258 0.6742 0.4426  1 N 2.61
La 0.6742 0.3258 0.5574  1 N 2.61
La 0.7290 0.7710 0.7500  2 N 2.59
La 0.7710 0.7290 0.2500  2 N 2.59
La 0.8258 0.1742 0.0574  1 N 2.61
Au 0.1264 0.8736 0.5312  6 La 3.02-3.25
Au 0.3736 0.6264 0.0312  6 La 3.02-3.25
Au 0.6264 0.3736 0.9688  6 La 3.02-3.25
Au 0.8736 0.1264 0.4688  6 La 3.02-3.25
N 0.0000 0.0000 0.0000  6 La 2.59-2.61
N 0.5000 0.5000 0.5000  6 La 2.59-2.61

Results
The calculated volume is 27.84 Å³ per atom. The calculation puts the uncorrected formation energy at -0.85 eV per atom. Its relative energy among the computed polymorphs is 0.0 meV/atom. The calculation puts the total magnetization at 0.000 μB/atom.

=====

No. 5
A relaxed La3AuN crystal, computed with PBE-GGA.

a = 4.3655 Å, b = 4.3655 Å, c = 17.3194 Å
α = 90.00°, β = 90.00°, γ = 120.00°
Last column: nearest neighbours and their distance in Å.
Sites, in units of the cell vectors:
La 0.0000 0.0000 0.2500  3 N 2.52
La 0.0000 0.0000 0.7500  3 N 2.52
La 0.3333 0.6667 0.1032  1 N 2.54
La 0.3333 0.6667 0.3968  1 N 2.54
La 0.6667 0.3333 0.6032  1 N 2.54
La 0.6667 0.3333 0.8968  1 N 2.54
Au 0.0000 0.0000 0.0000  6 La 3.09
Au 0.0000 0.0000 0.5000  6 La 3.09
N 0.3333 0.6667 0.2500  5 La 2.52-2.54
N 0.6667 0.3333 0.7500  5 La 2.52-2.54

Results
The calculated volume is 28.58 Å³ per atom. The calculation puts the uncorrected formation energy at -0.74 eV per atom. Its relative energy among the computed polymorphs is 174.3 meV/atom. The calculation puts the total magnetization at 0.000 μB/atom.

=====

No. 6
A relaxed La3AuN crystal, computed with PBE-GGA.

a = 3.7033 Å, b = 9.7640 Å, c = 7.9716 Å
α = 90.00°, β = 90.00°, γ = 90.00°
Last column: nearest neighbours and their distance in Å.
Sites, in units of the cell vectors:
La 0.0000 0.0000 0.0000  1 N 2.35
La 0.0000 0.5000 0.5000  1 N 2.35
La 0.5000 0.1684 0.3523  2 N 2.52
La 0.5000 0.3316 0.8523  2 N 2.52
La 0.5000 0.6684 0.8523  2 N 2.52
La 0.5000 0.8316 0.3523  2 N 2.52
Au 0.5000 0.0000 0.6986  4 La 3.03-3.21
Au 0.5000 0.5000 0.1986  4 La 3.03-3.21
N 0.0000 0.0000 0.2944  5 La 2.35-2.52
N 0.0000 0.5000 0.7944  5 La 2.35-2.52

Results
The calculated volume is 28.82 Å³ per atom. The calculation puts the uncorrected formation energy at -0.61 eV per atom. Its relative energy among the computed polymorphs is 299.7 meV/atom. The calculation puts the total magnetization at 0.000 μB/atom.

=====

No. 7
A relaxed La3AuN crystal, computed with PBE-GGA.

a = 6.3803 Å, b = 6.9657 Å, c = 7.5068 Å
α = 64.46°, β = 86.41°, γ = 73.75°
Last column: nearest neighbours and their distance in Å.
Sites, in units of the cell vectors:
La 0.0000 0.0000 0.0000  1 N 2.36
La 0.0021 0.8169 0.5980  2 N 2.40
La 0.4149 0.1703 0.6921  2 N 2.42-2.46
La 0.4736 0.9936 0.2961  1 N 2.37
La 0.5744 0.5646 0.9087  1 N 2.31
La 0.8865 0.4242 0.3871  1 N 2.31
Au 0.1133 0.4152 0.0049  6 La 3.07-3.33
Au 0.3497 0.5821 0.3011  6 La 3.04-3.37
N 0.0613 0.1074 0.6614  4 La 2.31-2.46
N 0.6169 0.8607 0.6249  4 La 2.31-2.42

Results
The calculated volume is 28.83 Å³ per atom. The calculation puts the uncorrected formation energy at -0.79 eV per atom. Its relative energy among the computed polymorphs is 118.2 meV/atom. The calculation puts the total magnetization at 0.001 μB/atom.

=====

No. 8
A relaxed LaAuN2 crystal, computed with PBE-GGA.

a = 4.7619 Å, b = 4.7619 Å, c = 12.3757 Å
α = 90.00°, β = 90.00°, γ = 90.00°
Last column: nearest neighbours and their distance in Å.
Sites, in units of the cell vectors:
La 0.0000 0.0000 0.0000  4 N 2.41
La 0.0000 0.5000 0.2500  4 N 2.41
La 0.5000 0.0000 0.7500  4 N 2.41
La 0.5000 0.5000 0.5000  4 N 2.41
Au 0.0000 0.0000 0.5000  4 N 2.18
Au 0.0000 0.5000 0.7500  4 N 2.18
Au 0.5000 0.0000 0.2500  4 N 2.18
Au 0.5000 0.5000 0.0000  4 N 2.18
N 0.2017 0.2500 0.6250  2 Au 2.18, 2 La 2.41
N 0.2500 0.7017 0.8750  2 Au 2.18, 2 La 2.41
N 0.2500 0.7983 0.3750  2 Au 2.18, 2 La 2.41
N 0.2983 0.2500 0.1250  2 Au 2.18, 2 La 2.41
N 0.7017 0.7500 0.1250  2 Au 2.18, 2 La 2.41
N 0.7500 0.2017 0.3750  2 Au 2.18, 2 La 2.41
N 0.7500 0.2983 0.8750  2 Au 2.18, 2 La 2.41
N 0.7983 0.7500 0.6250  2 Au 2.18, 2 La 2.41

Results
The calculated volume is 17.54 Å³ per atom. The calculation puts the uncorrected formation energy at 0.16 eV per atom. Its relative energy among the computed polymorphs is 282.8 meV/atom. The calculation puts the total magnetization at 0.000 μB/atom.

=====

No. 9
A relaxed LaAuN crystal, computed with PBE-GGA.

a = 3.7313 Å, b = 3.7313 Å, c = 18.1911 Å
α = 90.00°, β = 90.00°, γ = 90.00°
Last column: nearest neighbours and their distance in Å.
Sites, in units of the cell vectors:
La 0.0000 0.0000 0.1776  1 N 2.35
La 0.0000 0.0000 0.8224  1 N 2.35
La 0.5000 0.5000 0.3224  1 N 2.35
La 0.5000 0.5000 0.6776  1 N 2.35
Au 0.0000 0.0000 0.4295  1 N 2.23
Au 0.0000 0.0000 0.5705  1 N 2.23
Au 0.5000 0.5000 0.0705  1 N 2.23
Au 0.5000 0.5000 0.9295  1 N 2.23
N 0.0000 0.0000 0.3067  1 Au 2.23, 1 La 2.35
N 0.0000 0.0000 0.6933  1 Au 2.23, 1 La 2.35
N 0.5000 0.5000 0.1933  1 Au 2.23, 1 La 2.35
N 0.5000 0.5000 0.8067  1 Au 2.23, 1 La 2.35

Results
The calculated volume is 21.11 Å³ per atom. The calculation puts the uncorrected formation energy at -0.88 eV per atom. The calculation puts the total magnetization at 0.000 μB/atom.

=====

No. 10
A relaxed La3AuN crystal, computed with PBE-GGA.

a = 8.3384 Å, b = 8.3384 Å, c = 8.3384 Å
α = 52.21°, β = 52.21°, γ = 52.21°
Last column: nearest neighbours and their distance in Å.
Sites, in units of the cell vectors:
La 0.0544 0.7500 0.4456  1 N 2.23
La 0.2500 0.5544 0.9456  1 N 2.23
La 0.4456 0.0544 0.7500  1 N 2.23
La 0.5544 0.9456 0.2500  1 N 2.23
La 0.7500 0.4456 0.0544  1 N 2.23
La 0.9456 0.2500 0.5544  1 N 2.23
Au 0.0000 0.0000 0.0000  6 La 3.13
Au 0.5000 0.5000 0.5000  6 La 3.13
N 0.2500 0.2500 0.2500  3 La 2.23
N 0.7500 0.7500 0.7500  3 La 2.23

Results
The calculated volume is 33.49 Å³ per atom. The calculation puts the uncorrected formation energy at -0.66 eV per atom. Its relative energy among the computed polymorphs is 250.4 meV/atom. The calculation puts the total magnetization at 0.000 μB/atom.

=====

No. 11
A relaxed La3AuN crystal, computed with PBE-GGA.

a = 8.9858 Å, b = 6.4458 Å, c = 9.7659 Å
α = 90.00°, β = 115.72°, γ = 90.00°
Last column: nearest neighbours and their distance in Å.
Sites, in units of the cell vectors:
La 0.0706 0.0839 0.3581  3 N 2.61-2.72
La 0.0706 0.4161 0.8581  3 N 2.61-2.72
La 0.1945 0.5966 0.5454  2 N 2.46-2.63
La 0.1945 0.9034 0.0454  2 N 2.46-2.63
La 0.3547 0.1287 0.7649  1 N 2.41
La 0.3547 0.3713 0.2649  1 N 2.41
La 0.6453 0.6287 0.7351  1 N 2.41
La 0.6453 0.8713 0.2351  1 N 2.41
La 0.8055 0.0966 0.9546  2 N 2.46-2.63
La 0.8055 0.4034 0.4546  2 N 2.46-2.63
La 0.9294 0.5839 0.1419  3 N 2.61-2.72
La 0.9294 0.9161 0.6419  3 N 2.61-2.72
Au 0.4094 0.6669 0.8993  1 Au 2.89, 4 La 3.17-3.24
Au 0.4094 0.8331 0.3993  1 Au 2.89, 4 La 3.17-3.24
Au 0.5906 0.1669 0.6007  1 Au 2.89, 4 La 3.17-3.24
Au 0.5906 0.3331 0.1007  1 Au 2.89, 4 La 3.17-3.24
N 0.0792 0.2500 0.1054  5 La 2.41-2.64
N 0.0792 0.2500 0.6054  5 La 2.41-2.64
N 0.9208 0.7500 0.3946  5 La 2.41-2.64
N 0.9208 0.7500 0.8946  5 La 2.41-2.64

Results
The calculated volume is 25.48 Å³ per atom. The calculation puts the uncorrected formation energy at -0.81 eV per atom. Its relative energy among the computed polymorphs is 104.6 meV/atom. The calculation puts the total magnetization at 0.000 μB/atom.

=====

- Among the records above, which one has the highest calculated volume?
  number 10